*P*
## Nd2Sm8Dy (PBE-GGA)

Data for a relaxed Nd2Sm8Dy crystal.

Values from the calculation:
For the total magnetic moment, the calculation gives 0.00 μB/f.u.

Cell: 18.488 5.132 8.126 Å, 90.00 105.32 90.00°
Space group C2/m (No. 12)
Inequivalent atoms, fractional coordinates:
Nd: 0.227 0.000 0.137 (multiplicity 4)
Sm: 0.045 0.000 0.228 (multiplicity 4)
Sm: 0.090 0.500 0.953 (multiplicity 4)
Sm: 0.135 0.000 0.679 (multiplicity 4)
Sm: 0.181 0.500 0.409 (multiplicity 4)
Dy: 0.000 0.500 0.500 (multiplicity 2)

=====

*Q*
## Nd2Sm8Dy (PBE-GGA)

Data for a relaxed Nd2Sm8Dy crystal.

Values from the calculation:
For the total magnetic moment, the calculation gives 0.00 μB/f.u.

Cell: 16.759 6.795 6.777 Å, 90.00 100.50 90.00°
Space group C2/m (No. 12)
Inequivalent atoms, fractional coordinates:
Nd: 0.198 0.000 0.303 (multiplicity 4)
Sm: 0.088 0.263 0.904 (multiplicity 8)
Sm: 0.090 0.500 0.410 (multiplicity 4)
Sm: 0.244 0.000 0.811 (multiplicity 4)
Dy: 0.000 0.000 0.500 (multiplicity 2)

=====

Computed stability ranking, most favorable first: *P*, *Q*

=====

*P*
## Nd6Sm2Dy (PBE-GGA)

Data for a relaxed Nd6Sm2Dy crystal.

Values from the calculation:
For the total magnetic moment, the calculation gives 0.00 μB/f.u.

Cell: 8.297 8.297 10.580 Å, 90.00 90.00 90.00°
Space group P4_2/mnm (No. 136)
Inequivalent atoms, fractional coordinates:
Nd: 0.238 0.238 0.167 (multiplicity 8)
Nd: 0.239 0.239 0.500 (multiplicity 4)
Sm: 0.000 0.000 0.332 (multiplicity 4)
Dy: 0.000 0.000 0.000 (multiplicity 2)

=====

*Q*
## Nd6Sm2Dy (PBE-GGA)

Data for a relaxed Nd6Sm2Dy crystal.

Values from the calculation:
For the total magnetic moment, the calculation gives 0.00 μB/f.u.

Cell: 9.511 17.933 3.671 Å, 90.00 90.00 90.00°
Space group Cmmm (No. 65)
Inequivalent atoms, fractional coordinates:
Nd: 0.175 0.164 0.000 (multiplicity 8)
Nd: 0.184 0.000 0.500 (multiplicity 4)
Sm: 0.000 0.323 0.500 (multiplicity 4)
Dy: 0.000 0.500 0.000 (multiplicity 2)

=====

Computed stability ranking, most favorable first: *Q*, *P*

=====

*P*
## NdSm2Dy3 (PBE-GGA)

Data for a relaxed NdSm2Dy3 crystal.

Values from the calculation:
For the total magnetic moment, the calculation gives 0.00 μB/f.u.

Cell: 9.010 9.862 9.019 Å, 90.00 101.75 90.00°
Space group C2/c (No. 15)
Inequivalent atoms, fractional coordinates:
Nd: 0.000 0.085 0.250 (multiplicity 4)
Sm: 0.124 0.253 0.626 (multiplicity 8)
Dy: 0.000 0.419 0.250 (multiplicity 4)
Dy: 0.249 0.084 0.999 (multiplicity 8)

=====

*Q*
## NdSm2Dy3 (PBE-GGA)

Data for a relaxed NdSm2Dy3 crystal.

Values from the calculation:
For the total magnetic moment, the calculation gives 0.00 μB/f.u.

Cell: 9.528 13.233 6.404 Å, 90.00 90.00 90.00°
Space group Cmc2_1 (No. 36)
Inequivalent atoms, fractional coordinates:
Nd: 0.000 0.176 0.000 (multiplicity 4)
Sm: 0.182 0.442 0.224 (multiplicity 8)
Dy: 0.000 0.082 0.474 (multiplicity 4)
Dy: 0.182 0.305 0.680 (multiplicity 8)

=====

Computed stability ranking, most favorable first: *P*, *Q*

=====

*P*
## Nd5Sm2Dy2 (PBE-GGA)

Data for a relaxed Nd5Sm2Dy2 crystal.

Values from the calculation:
For the total magnetic moment, the calculation gives 0.00 μB/f.u.

Cell: 11.526 5.149 10.911 Å, 90.00 108.54 90.00°
Space group C2/m (No. 12)
Inequivalent atoms, fractional coordinates:
Nd: 0.000 0.000 0.000 (multiplicity 2)
Nd: 0.166 0.500 0.889 (multiplicity 4)
Nd: 0.167 0.500 0.555 (multiplicity 4)
Sm: 0.001 0.000 0.668 (multiplicity 4)
Dy: 0.167 0.500 0.223 (multiplicity 4)

=====

*Q*
## Nd5Sm2Dy2 (PBE-GGA)

Data for a relaxed Nd5Sm2Dy2 crystal.

Values from the calculation:
For the total magnetic moment, the calculation gives 0.00 μB/f.u.

Cell: 15.093 11.969 6.850 Å, 90.00 90.00 90.00°
Space group Ima2 (No. 46)
Inequivalent atoms, fractional coordinates:
Nd: 0.050 0.235 0.000 (multiplicity 8)
Nd: 0.144 0.728 0.672 (multiplicity 8)
Nd: 0.250 0.235 0.688 (multiplicity 4)
Sm: 0.000 0.000 0.347 (multiplicity 4)
Sm: 0.250 0.502 0.879 (multiplicity 4)
Dy: 0.128 0.509 0.336 (multiplicity 8)

=====

Computed stability ranking, most favorable first: *P*, *Q*